Entry 1:
VASP calculation (PBE) on an optimized crystal structure of GdHg2Cl4.

Computed properties:
Raw formation energy in kcal/mol of atoms: -28.115

Cell: 5.269 5.269 11.741 Å, 77.03 77.03 90.00°
Site moments in Bohr magnetons follow the coordinates.
Element x y z (fractional)
Cl 0.880 0.880 0.239  -0.01
Cl 0.500 0.000 0.000  0.00
Cl 0.120 0.120 0.761  -0.01
Cl 0.000 0.500 0.000  0.00
Gd 0.000 0.000 0.000  6.92
Hg 0.242 0.242 0.515  -0.01
Hg 0.758 0.758 0.485  -0.01

***

Entry 2:
VASP calculation (PBE) on an optimized crystal structure of Pd2RuN2.

Computed properties:
Raw formation energy in kcal/mol of atoms: 36.347

Cell: 6.813 6.813 2.790 Å, 90.00 90.00 90.00°
Site moments in Bohr magnetons follow the coordinates.
Element x y z (fractional)
Pd 0.363 0.863 0.000  0.02
Pd 0.863 0.637 0.000  0.03
Pd 0.137 0.363 0.000  0.03
Pd 0.637 0.137 0.000  0.02
N 0.286 0.214 0.500  -0.04
N 0.714 0.786 0.500  -0.04
N 0.214 0.714 0.500  -0.05
N 0.786 0.286 0.500  -0.05
Ru 0.000 0.000 0.000  1.44
Ru 0.500 0.500 0.000  1.44

***

Entry 3:
VASP calculation (PBE) on an optimized crystal structure of Sm4U2Ru5.

Computed properties:
ΔE_f in eV/atom: -0.2030

Cell: 6.170 8.800 10.540 Å, 114.67 107.02 90.00°
Site moments in Bohr magnetons follow the coordinates.
Element x y z (fractional)
U 0.554 0.304 0.607  0.77
U 0.054 0.304 0.607  0.77
U 0.946 0.696 0.393  0.77
U 0.446 0.696 0.393  0.77
Sm 0.555 0.304 0.109  0.01
Sm 0.445 0.696 0.891  0.01
Sm 0.637 0.017 0.274  0.02
Sm 0.863 0.743 0.726  0.02
Sm 0.945 0.194 0.891  0.01
Sm 0.363 0.983 0.726  0.02
Sm 0.055 0.806 0.109  0.01
Sm 0.137 0.257 0.274  0.02
Ru 0.250 0.000 0.000  -0.02
Ru 0.750 0.000 0.000  -0.02
Ru 0.088 0.526 0.175  -0.09
Ru 0.912 0.474 0.825  -0.09
Ru 0.412 0.351 0.825  -0.09
Ru 0.775 0.941 0.551  -0.09
Ru 0.725 0.390 0.449  -0.09
Ru 0.588 0.649 0.175  -0.09
Ru 0.225 0.059 0.449  -0.09
Ru 0.275 0.610 0.551  -0.09

***

Entry 4:
VASP calculation (PBE) on an optimized crystal structure of Be2NiSe2.

Computed properties:
Raw formation energy in kcal/mol of atoms: 4.160

Cell: 6.631 6.631 3.414 Å, 90.00 90.00 90.00°
Element x y z (fractional)
Ni 0.000 0.000 0.000
Ni 0.500 0.500 0.000
Be 0.864 0.364 0.500
Be 0.364 0.136 0.500
Be 0.136 0.636 0.500
Be 0.636 0.864 0.500
Se 0.701 0.201 0.000
Se 0.299 0.799 0.000
Se 0.201 0.299 0.000
Se 0.799 0.701 0.000